No. 1
# Ca2TlFe

A relaxed structure of Ca2TlFe (PBE, the Alexandria database).

Cell: 4.626 4.626 9.431 Å, 90.00 90.00 90.00°
Fractional positions:
1 Ca 0.000 0.000 0.000
2 Ca 0.000 0.500 0.250
3 Ca 0.500 0.000 0.750
4 Ca 0.500 0.500 0.500
5 Tl 0.000 0.000 0.500
6 Tl 0.500 0.500 0.000
7 Fe 0.000 0.500 0.750
8 Fe 0.500 0.000 0.250

N(E_F), states/eV/f.u.: 7.37
Magnetic moment, μB/f.u.: 2.12
Formation energy, eV per atom: 0.2591
Calculated volume, Å³/cell: 201.83
Space-group type: I-4m2, No. 119

No. 2
# CaZrAu2

A relaxed structure of CaZrAu2 (PBE, the Alexandria database).

Cell: 4.661 3.503 10.938 Å, 90.00 90.00 90.00°
Fractional positions:
1 Ca 0.000 0.000 0.000
2 Ca 0.000 0.500 0.500
3 Zr 0.500 0.000 0.720
4 Zr 0.500 0.500 0.220
5 Au 0.000 0.000 0.265
6 Au 0.000 0.500 0.765
7 Au 0.500 0.000 0.445
8 Au 0.500 0.500 0.945

N(E_F), states/eV/f.u.: 3.55
Magnetic moment, μB/f.u.: 0.00
Formation energy, eV per atom: -0.5658
Calculated volume, Å³/cell: 178.59
Space-group type: Amm2, No. 38

No. 3
# AcPr2AgSe5

A relaxed structure of AcPr2AgSe5 (PBE, the Alexandria database).

Cell: 9.112 9.112 13.122 Å, 90.00 90.00 152.99°
Fractional positions:
1 Ac 0.179 0.821 0.500
2 Ac 0.821 0.179 0.000
3 Pr 0.116 0.884 0.809
4 Pr 0.125 0.875 0.186
5 Pr 0.875 0.125 0.686
6 Pr 0.884 0.116 0.309
7 Ag 0.489 0.511 0.990
8 Ag 0.511 0.489 0.490
9 Se 0.030 0.970 0.601
10 Se 0.298 0.702 0.829
11 Se 0.303 0.697 0.170
12 Se 0.353 0.647 0.506
13 Se 0.490 0.510 0.794
14 Se 0.510 0.490 0.294
15 Se 0.647 0.353 0.006
16 Se 0.697 0.303 0.670
17 Se 0.702 0.298 0.329
18 Se 0.970 0.030 0.101

N(E_F), states/eV/f.u.: 0.13
Magnetic moment, μB/f.u.: 0.00
Formation energy without anion corrections, eV per atom: -1.548
Calculated volume, Å³/cell: 494.82
Space-group type: Cmc2_1, No. 36

No. 4
# GeSe2Cl

A relaxed structure of GeSe2Cl (PBE, the Alexandria database).

Cell: 3.851 3.851 24.001 Å, 90.00 90.00 120.00°
Fractional positions:
1 Ge 0.000 0.000 0.000
2 Ge 0.333 0.667 0.667
3 Ge 0.667 0.333 0.333
4 Se 0.000 0.000 0.396
5 Se 0.000 0.000 0.604
6 Se 0.333 0.667 0.062
7 Se 0.333 0.667 0.271
8 Se 0.667 0.333 0.729
9 Se 0.667 0.333 0.938
10 Cl 0.000 0.000 0.500
11 Cl 0.333 0.667 0.167
12 Cl 0.667 0.333 0.833

N(E_F), states/eV/f.u.: 1.66
Magnetic moment, μB/f.u.: 0.00
Formation energy without anion corrections, eV per atom: -0.048
Calculated volume, Å³/cell: 308.23
E above lowest polymorph, kJ/mol of formula units: 31
Space-group type: R-3m, No. 166

No. 5
# TmGa5Cu7

A relaxed structure of TmGa5Cu7 (PBE, the Alexandria database).

Cell: 6.589 6.589 6.589 Å, 133.80 97.43 100.28°
Fractional positions:
1 Tm 0.000 0.000 0.000
2 Ga 0.008 0.500 0.013
3 Ga 0.008 0.996 0.508
4 Ga 0.487 0.500 0.492
5 Ga 0.487 0.996 0.987
6 Ga 0.784 0.284 0.500
7 Cu 0.211 0.711 0.500
8 Cu 0.214 0.496 0.717
9 Cu 0.354 0.001 0.353
10 Cu 0.354 0.354 0.000
11 Cu 0.649 0.001 0.647
12 Cu 0.653 0.653 0.000
13 Cu 0.779 0.496 0.283

N(E_F), states/eV/f.u.: 4.30
Magnetic moment, μB/f.u.: 0.00
Formation energy, eV per atom: -0.1535
Calculated volume, Å³/cell: 189.84
Space-group type: Imm2, No. 44

No. 6
# YZrPb

A relaxed structure of YZrPb (PBE, the Alexandria database).

Cell: 3.547 4.124 10.781 Å, 90.00 90.00 90.00°
Fractional positions:
1 Y 0.000 0.000 0.000
2 Y 0.500 0.500 0.500
3 Zr 0.000 0.000 0.324
4 Zr 0.500 0.500 0.824
5 Pb 0.000 0.000 0.675
6 Pb 0.500 0.500 0.175

N(E_F), states/eV/f.u.: 3.81
Magnetic moment, μB/f.u.: 0.00
Formation energy, eV per atom: -0.1908
Calculated volume, Å³/cell: 157.67
E above lowest polymorph, kJ/mol of formula units: 68
Space-group type: Imm2, No. 44